(1)
Density functional theory data (PBE-GGA) for a geometry-optimized Hg5Se7 structure.

Fermi-level density of states ... 0.9 states/eV per cell
Energy relative to the elements, uncorrected ... 0.1139 eV per atom
Crystal system ... tetragonal

a = 7.9717 Å, b = 7.9717 Å, c = 7.9717 Å
α = 110.86°, β = 110.86°, γ = 106.72°
Fractional coordinates of all 12 atoms:
Hg1 0.8838 0.8838 0.6134
Hg2 0.8838 0.2704 0.0000
Hg3 0.2704 0.2704 0.3866
Hg4 0.2704 0.8838 0.0000
Hg5 0.2325 0.2325 0.0000
Se1 0.6425 0.3512 0.7087
Se2 0.9337 0.6425 0.2913
Se3 0.2963 0.7963 0.5000
Se4 0.6425 0.9337 0.2913
Se5 0.3512 0.6425 0.7087
Se6 0.7963 0.2963 0.5000
Se7 0.4966 0.4966 0.0000


(2)
Density functional theory data (PBE-GGA) for a geometry-optimized Hg3Se2 structure.

Fermi-level density of states ... 1.1 states/eV per cell
Energy relative to the elements, uncorrected ... -0.0603 eV per atom
Crystal system ... trigonal
Energy relative to the lowest polymorph listed for this composition ... 0.0392 eV/atom

a = 4.4880 Å, b = 4.4880 Å, c = 9.3294 Å
α = 90.00°, β = 90.00°, γ = 120.00°
Fractional coordinates of all 5 atoms:
Hg1 0.0000 0.0000 0.0000
Hg2 0.6667 0.3333 0.6354
Hg3 0.3333 0.6667 0.3646
Se1 0.6667 0.3333 0.2957
Se2 0.3333 0.6667 0.7043


(3)
Density functional theory data (PBE-GGA) for a geometry-optimized HgSe2 structure.

Fermi-level density of states ... 2.8 states/eV per cell
Energy relative to the elements, uncorrected ... -0.0209 eV per atom
Crystal system ... cubic
Energy relative to the lowest polymorph listed for this composition ... 0.0000 eV/atom

a = 6.8632 Å, b = 6.8632 Å, c = 6.8632 Å
α = 90.00°, β = 90.00°, γ = 90.00°
Fractional coordinates of all 12 atoms:
Se1 0.4001 0.0999 0.0999
Se2 0.5999 0.5999 0.4001
Se3 0.9001 0.0999 0.4001
Se4 0.0999 0.9001 0.5999
Se5 0.4001 0.4001 0.5999
Se6 0.5999 0.9001 0.9001
Se7 0.9001 0.4001 0.9001
Se8 0.0999 0.5999 0.0999
Hg1 0.5000 0.0000 0.5000
Hg2 0.5000 0.5000 0.0000
Hg3 0.0000 0.5000 0.5000
Hg4 0.0000 0.0000 0.0000


(4)
Density functional theory data (PBE-GGA) for a geometry-optimized HgSe2 structure.

Fermi-level density of states ... 1.7 states/eV per cell
Energy relative to the elements, uncorrected ... 0.1725 eV per atom
Crystal system ... orthorhombic
Energy relative to the lowest polymorph listed for this composition ... 0.1935 eV/atom

a = 10.4665 Å, b = 10.4665 Å, c = 3.6884 Å
α = 90.00°, β = 90.00°, γ = 157.99°
Fractional coordinates of all 6 atoms:
Se1 0.4545 0.5455 0.7500
Se2 0.7641 0.2359 0.7500
Se3 0.2359 0.7641 0.2500
Se4 0.5455 0.4545 0.2500
Hg1 0.8876 0.1124 0.2500
Hg2 0.1124 0.8876 0.7500


(5)
Density functional theory data (PBE-GGA) for a geometry-optimized HgSe2 structure.

Fermi-level density of states ... 0.5 states/eV per cell
Energy relative to the elements, uncorrected ... 0.2076 eV per atom
Crystal system ... hexagonal
Energy relative to the lowest polymorph listed for this composition ... 0.2285 eV/atom

a = 4.3599 Å, b = 4.3599 Å, c = 11.7496 Å
α = 90.00°, β = 90.00°, γ = 120.00°
Fractional coordinates of all 6 atoms:
Hg1 0.0000 0.0000 0.7500
Hg2 0.0000 0.0000 0.2500
Se1 0.6667 0.3333 0.0281
Se2 0.3333 0.6667 0.5281
Se3 0.6667 0.3333 0.4719
Se4 0.3333 0.6667 0.9719


(6)
Density functional theory data (PBE-GGA) for a geometry-optimized HgSe3 structure.

Fermi-level density of states ... 0.9 states/eV per cell
Energy relative to the elements, uncorrected ... 0.0715 eV per atom
Crystal system ... tetragonal

a = 6.3410 Å, b = 6.3410 Å, c = 4.0969 Å
α = 108.80°, β = 108.80°, γ = 37.70°
Fractional coordinates of all 4 atoms:
Se1 0.2577 0.2577 0.2579
Se2 0.5000 0.5000 0.5000
Se3 0.7423 0.7423 0.7421
Hg1 0.0000 0.0000 0.0000


(7)
Density functional theory data (PBE-GGA) for a geometry-optimized Hg3Se2 structure.

Energy relative to the elements, uncorrected ... -0.0995 eV per atom
Crystal system ... orthorhombic
Energy relative to the lowest polymorph listed for this composition ... 0.0000 eV/atom

a = 9.4452 Å, b = 7.7657 Å, c = 7.4697 Å
α = 76.60°, β = 53.11°, γ = 50.29°
Fractional coordinates of all 10 atoms:
Se1 0.7128 0.2842 0.6067
Se2 0.9658 0.5372 0.8537
Se3 0.3963 0.6067 0.2842
Se4 0.6433 0.8537 0.5372
Hg1 0.9844 0.0156 0.0156
Hg2 0.5077 0.7003 0.8933
Hg3 0.3567 0.3512 0.7423
Hg4 0.8988 0.8933 0.7003
Hg5 0.2344 0.2656 0.2656
Hg6 0.5497 0.7423 0.3512


(8)
Density functional theory data (PBE-GGA) for a geometry-optimized HgSe2 structure.

Fermi-level density of states ... 2.0 states/eV per cell
Energy relative to the elements, uncorrected ... 0.0168 eV per atom
Crystal system ... hexagonal
Energy relative to the lowest polymorph listed for this composition ... 0.0377 eV/atom

a = 4.4339 Å, b = 4.4339 Å, c = 10.2399 Å
α = 90.00°, β = 90.00°, γ = 120.00°
Fractional coordinates of all 6 atoms:
Se1 0.3333 0.6667 0.6321
Se2 0.6667 0.3333 0.3679
Se3 0.6667 0.3333 0.1321
Se4 0.3333 0.6667 0.8679
Hg1 0.0000 0.0000 0.0000
Hg2 0.0000 0.0000 0.5000


(9)
Density functional theory data (PBE-GGA) for a geometry-optimized HgSe2 structure.

Fermi-level density of states ... 2.5 states/eV per cell
Energy relative to the elements, uncorrected ... 0.0870 eV per atom
Crystal system ... monoclinic
Energy relative to the lowest polymorph listed for this composition ... 0.1079 eV/atom

a = 7.4916 Å, b = 7.4916 Å, c = 7.0586 Å
α = 61.84°, β = 61.84°, γ = 31.89°
Fractional coordinates of all 6 atoms:
Se1 0.8584 0.8584 0.8039
Se2 0.1412 0.1412 0.5225
Se3 0.8588 0.8588 0.4775
Se4 0.1416 0.1416 0.1961
Hg1 0.4995 0.4995 0.8051
Hg2 0.5005 0.5005 0.1949


(10)
Density functional theory data (PBE-GGA) for a geometry-optimized HgSe2 structure.

Fermi-level density of states ... 1.2 states/eV per cell
Energy relative to the elements, uncorrected ... 0.2505 eV per atom
Crystal system ... hexagonal
Energy relative to the lowest polymorph listed for this composition ... 0.2715 eV/atom

a = 5.8894 Å, b = 5.8894 Å, c = 2.5895 Å
α = 90.00°, β = 90.00°, γ = 120.00°
Fractional coordinates of all 3 atoms:
Se1 0.6667 0.3333 0.0007
Se2 0.3333 0.6667 0.9993
Hg1 0.0000 0.0000 0.0000


(11)
Density functional theory data (PBE-GGA) for a geometry-optimized Hg3Se structure.

Fermi-level density of states ... 0.7 states/eV per cell
Energy relative to the elements, uncorrected ... 0.0709 eV per atom
Crystal system ... orthorhombic

a = 2.8154 Å, b = 4.8073 Å, c = 8.2479 Å
α = 90.00°, β = 90.00°, γ = 90.00°
Fractional coordinates of all 4 atoms:
Hg1 0.5000 0.0000 0.5352
Hg2 0.5000 0.5000 0.7995
Hg3 0.0000 0.0000 0.0563
Se1 0.0000 0.5000 0.2756


(12)
Density functional theory data (PBE-GGA) for a geometry-optimized Hg3Se structure.

Fermi-level density of states ... 5.5 states/eV per cell
Energy relative to the elements, uncorrected ... 0.2325 eV per atom
Crystal system ... cubic

a = 5.8932 Å, b = 5.8932 Å, c = 5.8932 Å
α = 90.00°, β = 90.00°, γ = 90.00°
Fractional coordinates of all 4 atoms:
Hg1 0.0000 0.0000 0.5000
Hg2 0.5000 0.0000 0.0000
Hg3 0.0000 0.5000 0.0000
Se1 0.0000 0.0000 0.0000


(13)
Density functional theory data (PBE-GGA) for a geometry-optimized Hg3Se structure.

Fermi-level density of states ... 0.9 states/eV per cell
Energy relative to the elements, uncorrected ... 0.0523 eV per atom
Crystal system ... orthorhombic

a = 6.6793 Å, b = 6.6793 Å, c = 6.6793 Å
α = 154.02°, β = 123.76°, γ = 62.95°
Fractional coordinates of all 4 atoms:
Hg1 0.3322 0.5000 0.8322
Hg2 0.5868 0.7532 0.8336
Hg3 0.0804 0.2468 0.8336
Se1 0.8339 0.0000 0.8339


(14)
Density functional theory data (PBE-GGA) for a geometry-optimized Hg3Se structure.

Fermi-level density of states ... 4.5 states/eV per cell
Energy relative to the elements, uncorrected ... 0.1773 eV per atom
Crystal system ... cubic

a = 5.8740 Å, b = 5.8740 Å, c = 5.8740 Å
α = 90.00°, β = 90.00°, γ = 90.00°
Fractional coordinates of all 8 atoms:
Hg1 0.0000 0.2500 0.5000
Hg2 0.7500 0.5000 0.0000
Hg3 0.0000 0.7500 0.5000
Hg4 0.5000 0.0000 0.7500
Hg5 0.5000 0.0000 0.2500
Hg6 0.2500 0.5000 0.0000
Se1 0.5000 0.5000 0.5000
Se2 0.0000 0.0000 0.0000


(15)
Density functional theory data (PBE-GGA) for a geometry-optimized HgSe4 structure.

Fermi-level density of states ... 2.0 states/eV per cell
Energy relative to the elements, uncorrected ... 0.1086 eV per atom
Crystal system ... trigonal
Energy relative to the lowest polymorph listed for this composition ... 0.0000 eV/atom

a = 4.4052 Å, b = 4.4052 Å, c = 9.1664 Å
α = 90.00°, β = 90.00°, γ = 120.00°
Fractional coordinates of all 5 atoms:
Se1 0.3333 0.6667 0.4117
Se2 0.3333 0.6667 0.1569
Se3 0.6667 0.3333 0.8431
Se4 0.6667 0.3333 0.5883
Hg1 0.0000 0.0000 0.0000


(16)
Density functional theory data (PBE-GGA) for a geometry-optimized Hg6Se7 structure.

Fermi-level density of states ... 8.5 states/eV per cell
Energy relative to the elements, uncorrected ... 0.1983 eV per atom
Crystal system ... trigonal

a = 16.4493 Å, b = 16.4493 Å, c = 16.4493 Å
α = 18.49°, β = 18.49°, γ = 18.49°
Site moments in Bohr magnetons follow the coordinates.
Fractional coordinates of all 13 atoms:
Hg1 0.1814 0.1814 0.1814  0.01
Hg2 0.6372 0.6372 0.6372  0.00
Hg3 0.8186 0.8186 0.8186  0.01
Hg4 0.0318 0.0318 0.0318  0.01
Hg5 0.9682 0.9682 0.9682  0.01
Hg6 0.3628 0.3628 0.3628  0.00
Se1 0.4095 0.4095 0.9072  0.11
Se2 0.5905 0.0928 0.5905  0.11
Se3 0.9072 0.4095 0.4095  0.11
Se4 0.5905 0.5905 0.0928  0.11
Se5 0.5000 0.5000 0.5000  0.01
Se6 0.0928 0.5905 0.5905  0.11
Se7 0.4095 0.9072 0.4095  0.11


(17)
Density functional theory data (PBE-GGA) for a geometry-optimized HgSe3 structure.

Fermi-level density of states ... 2.1 states/eV per cell
Energy relative to the elements, uncorrected ... 0.1611 eV per atom
Crystal system ... orthorhombic

a = 5.8390 Å, b = 5.8390 Å, c = 5.8390 Å
α = 141.23°, β = 93.41°, γ = 99.25°
Fractional coordinates of all 4 atoms:
Se1 0.7649 0.7649 0.0000
Se2 0.0000 0.5000 0.5000
Se3 0.2351 0.2351 0.0000
Hg1 0.5000 0.0000 0.5000


(18)
Density functional theory data (PBE-GGA) for a geometry-optimized Hg4Se structure.

Fermi-level density of states ... 3.9 states/eV per cell
Energy relative to the elements, uncorrected ... 0.1182 eV per atom
Crystal system ... tetragonal
Energy relative to the lowest polymorph listed for this composition ... 0.0664 eV/atom

a = 6.0929 Å, b = 6.0929 Å, c = 6.0929 Å
α = 96.41°, β = 96.41°, γ = 140.96°
Fractional coordinates of all 5 atoms:
Se1 0.0000 0.0000 0.0000
Hg1 0.5000 0.2140 0.7140
Hg2 0.2140 0.5000 0.7140
Hg3 0.5000 0.7860 0.2860
Hg4 0.7860 0.5000 0.2860


(19)
Density functional theory data (PBE-GGA) for a geometry-optimized Hg3Se structure.

Fermi-level density of states ... 1.3 states/eV per cell
Energy relative to the elements, uncorrected ... 0.0008 eV per atom
Crystal system ... orthorhombic

a = 5.2430 Å, b = 5.2430 Å, c = 4.1637 Å
α = 90.00°, β = 90.00°, γ = 112.23°
Fractional coordinates of all 4 atoms:
Hg1 0.5000 0.5000 0.5000
Hg2 0.2367 0.7633 0.0000
Hg3 0.7633 0.2367 0.0000
Se1 0.0000 0.0000 0.5000


(20)
Density functional theory data (PBE-GGA) for a geometry-optimized HgSe2 structure.

Fermi-level density of states ... 1.0 states/eV per cell
Energy relative to the elements, uncorrected ... 0.3746 eV per atom
Crystal system ... trigonal
Energy relative to the lowest polymorph listed for this composition ... 0.3956 eV/atom

a = 2.8955 Å, b = 2.8955 Å, c = 10.6723 Å
α = 90.00°, β = 90.00°, γ = 120.00°
Fractional coordinates of all 3 atoms:
Se1 0.6667 0.3333 0.6950
Se2 0.3333 0.6667 0.3050
Hg1 0.0000 0.0000 0.0000


(21)
Density functional theory data (PBE-GGA) for a geometry-optimized Hg4Se structure.

Fermi-level density of states ... 3.0 states/eV per cell
Energy relative to the elements, uncorrected ... 0.0518 eV per atom
Crystal system ... trigonal
Energy relative to the lowest polymorph listed for this composition ... 0.0000 eV/atom

a = 4.2070 Å, b = 4.2070 Å, c = 10.6614 Å
α = 90.00°, β = 90.00°, γ = 120.00°
Fractional coordinates of all 5 atoms:
Hg1 0.6667 0.3333 0.5896
Hg2 0.3333 0.6667 0.1449
Hg3 0.6667 0.3333 0.8551
Hg4 0.3333 0.6667 0.4104
Se1 0.0000 0.0000 0.0000


(22)
Density functional theory data (PBE-GGA) for a geometry-optimized HgSe3 structure.

Fermi-level density of states ... 1.3 states/eV per cell
Energy relative to the elements, uncorrected ... 0.1051 eV per atom
Crystal system ... trigonal

a = 7.2231 Å, b = 7.2231 Å, c = 7.2231 Å
α = 32.34°, β = 32.34°, γ = 32.34°
Fractional coordinates of all 4 atoms:
Se1 0.5000 0.5000 0.5000
Se2 0.7576 0.7576 0.7576
Se3 0.2424 0.2424 0.2424
Hg1 0.0000 0.0000 0.0000


(23)
Density functional theory data (PBE-GGA) for a geometry-optimized HgSe3 structure.

Fermi-level density of states ... 12.7 states/eV per cell
Energy relative to the elements, uncorrected ... 0.6349 eV per atom
Crystal system ... cubic

a = 5.6691 Å, b = 5.6691 Å, c = 5.6691 Å
α = 90.00°, β = 90.00°, γ = 90.00°
Site moments in Bohr magnetons follow the coordinates.
Fractional coordinates of all 8 atoms:
Se1 0.0000 0.2500 0.5000  0.24
Se2 0.2500 0.5000 0.0000  0.24
Se3 0.5000 0.0000 0.2500  0.24
Se4 0.5000 0.0000 0.7500  0.24
Se5 0.7500 0.5000 0.0000  0.24
Se6 0.0000 0.7500 0.5000  0.24
Hg1 0.5000 0.5000 0.5000  0.02
Hg2 0.0000 0.0000 0.0000  0.02


(24)
Density functional theory data (PBE-GGA) for a geometry-optimized HgSe3 structure.

Fermi-level density of states ... 2.1 states/eV per cell
Energy relative to the elements, uncorrected ... 0.1499 eV per atom
Crystal system ... orthorhombic

a = 3.7933 Å, b = 3.7969 Å, c = 8.6516 Å
α = 90.00°, β = 90.00°, γ = 90.00°
Fractional coordinates of all 4 atoms:
Se1 0.5000 0.5000 0.9117
Se2 0.5000 0.0000 0.3979
Se3 0.0000 0.5000 0.4218
Hg1 0.0000 0.0000 0.9353


(25)
Density functional theory data (PBE-GGA) for a geometry-optimized Hg7Se5 structure.

Energy relative to the elements, uncorrected ... -0.0250 eV per atom
Crystal system ... monoclinic

a = 7.8231 Å, b = 8.2545 Å, c = 7.8231 Å
α = 110.86°, β = 105.41°, γ = 109.87°
Fractional coordinates of all 12 atoms:
Hg1 0.2325 0.8292 0.5967
Hg2 0.2913 0.4546 0.1632
Hg3 0.5789 0.1467 0.5678
Hg4 0.6415 0.7920 0.1506
Hg5 0.8881 0.2810 0.3928
Hg6 0.9069 0.5464 0.0961
Hg7 0.4503 0.5464 0.6396
Se1 0.9947 0.9733 0.9786
Se2 0.7535 0.7846 0.6328
Se3 0.6403 0.2806 0.1104
Se4 0.1701 0.2806 0.6402
Se5 0.1518 0.7846 0.0311


(26)
Density functional theory data (PBE-GGA) for a geometry-optimized HgSe2 structure.

Fermi-level density of states ... 1.9 states/eV per cell
Energy relative to the elements, uncorrected ... 0.2199 eV per atom
Crystal system ... trigonal
Energy relative to the lowest polymorph listed for this composition ... 0.2408 eV/atom

a = 5.8058 Å, b = 5.8058 Å, c = 5.8058 Å
α = 40.12°, β = 40.12°, γ = 40.12°
Fractional coordinates of all 3 atoms:
Se1 0.5611 0.5611 0.5611
Se2 0.7703 0.7703 0.7703
Hg1 0.0020 0.0020 0.0020


(27)
Density functional theory data (PBE-GGA) for a geometry-optimized HgSe2 structure.

Fermi-level density of states ... 2.7 states/eV per cell
Energy relative to the elements, uncorrected ... 0.1706 eV per atom
Crystal system ... orthorhombic
Energy relative to the lowest polymorph listed for this composition ... 0.1916 eV/atom

a = 5.7964 Å, b = 5.7964 Å, c = 5.7964 Å
α = 152.60°, β = 100.98°, γ = 85.52°
Fractional coordinates of all 3 atoms:
Se1 0.3550 0.3550 0.0000
Se2 0.6450 0.6450 0.0000
Hg1 0.0000 0.0000 0.0000


Values of magnetic moment, in order: 0.00; 0.00; 0.00; 0.00; 0.00; 0.00; 0.00; 0.00; 0.00; 0.00; 0.00; 0.00; 0.00; 0.00; 0.00; 1.17; 0.00; 0.00; 0.00; 0.00; 0.00; 0.00; 1.10; 0.00; 0.00; 0.00; 0.00, all in μB per formula unit.